# 1
Entry from the Alexandria database: an optimized crystal structure of Ca3HfAs (PBE-GGA).

Properties
The size of the total moment is 2.661 μB/f.u. For the density of states at the Fermi level, the calculation gives 1.747 states/eV per atom. The calculation puts the offset from the most stable computed form at 4.26 eV/f.u.

Geometry as CIF:
```
data_Ca3HfAs
_chemical_formula_sum 'Ca3 Hf1 As1'
_cell_length_a 5.663
_cell_length_b 5.663
_cell_length_c 5.663
_cell_angle_alpha 90.00
_cell_angle_beta 90.00
_cell_angle_gamma 90.00
_symmetry_space_group_name_H-M 'P m -3 m'
_symmetry_Int_Tables_number 221
_symmetry_space_group_name_Hall '-P 4 2 3'
loop_
_atom_site_label
_atom_site_fract_x
_atom_site_fract_y
_atom_site_fract_z
_atom_site_occupancy
Ca1 0.000 0.000 0.500 1
Hf1 0.000 0.000 0.000 1
As1 0.500 0.500 0.500 1
```

# 2
Entry from the Alexandria database: an optimized crystal structure of Tb2HgGe2Rh5 (PBE-GGA).

Properties
The size of the total moment is 0.000 μB/f.u. For the density of states at the Fermi level, the calculation gives 0.124 states/eV per atom.

Geometry as CIF:
```
data_Tb2HgGe2Rh5
_chemical_formula_sum 'Tb4 Hg2 Ge4 Rh10'
_cell_length_a 9.823
_cell_length_b 9.823
_cell_length_c 3.637
_cell_angle_alpha 90.00
_cell_angle_beta 90.00
_cell_angle_gamma 90.00
_symmetry_space_group_name_H-M 'P 4/m b m'
_symmetry_Int_Tables_number 127
_symmetry_space_group_name_Hall '-P 4 2ab'
loop_
_atom_site_label
_atom_site_fract_x
_atom_site_fract_y
_atom_site_fract_z
_atom_site_occupancy
Tb1 0.175 0.325 0.000 1
Hg1 0.000 0.000 0.000 1
Ge1 0.124 0.624 0.000 1
Rh1 0.000 0.500 0.500 1
Rh2 0.068 0.787 0.500 1
```

# 3
Entry from the Alexandria database: an optimized crystal structure of CdPSe (PBE-GGA).

Properties
The size of the total moment is 0.000 μB/f.u. For the density of states at the Fermi level, the calculation gives 0.537 states/eV per atom. The calculation puts the offset from the most stable computed form at 0.67 eV/f.u. As for the uncorrected formation energy: 332 meV per atom.

Geometry as CIF:
```
data_CdPSe
_chemical_formula_sum 'Cd2 P2 Se2'
_cell_length_a 3.300
_cell_length_b 3.300
_cell_length_c 14.128
_cell_angle_alpha 90.00
_cell_angle_beta 90.00
_cell_angle_gamma 90.00
_symmetry_space_group_name_H-M 'I 4 m m'
_symmetry_Int_Tables_number 107
_symmetry_space_group_name_Hall 'I 4 -2'
loop_
_atom_site_label
_atom_site_fract_x
_atom_site_fract_y
_atom_site_fract_z
_atom_site_occupancy
Cd1 0.000 0.000 0.000 1
P1 0.000 0.000 0.301 1
Se1 0.000 0.000 0.734 1
```

# 4
Entry from the Alexandria database: an optimized crystal structure of YCd2Br (PBE-GGA).

Properties
The size of the total moment is 0.000 μB/f.u. For the density of states at the Fermi level, the calculation gives 0.681 states/eV per atom. The calculation puts the offset from the most stable computed form at 0.94 eV/f.u. As for the uncorrected formation energy: -294 meV per atom.

Geometry as CIF:
```
data_YCd2Br
_chemical_formula_sum 'Y4 Cd8 Br4'
_cell_length_a 7.377
_cell_length_b 7.377
_cell_length_c 7.377
_cell_angle_alpha 90.00
_cell_angle_beta 90.00
_cell_angle_gamma 90.00
_symmetry_space_group_name_H-M 'F -4 3 m'
_symmetry_Int_Tables_number 216
_symmetry_space_group_name_Hall 'F -4 2 3'
loop_
_atom_site_label
_atom_site_fract_x
_atom_site_fract_y
_atom_site_fract_z
_atom_site_occupancy
Y1 0.000 0.000 0.000 1
Cd1 0.000 0.000 0.500 1
Cd2 0.250 0.250 0.250 1
Br1 0.250 0.250 0.750 1
```

# 5
Entry from the Alexandria database: an optimized crystal structure of In2CuSnBi (PBE-GGA).

Properties
The size of the total moment is 0.000 μB/f.u. For the density of states at the Fermi level, the calculation gives 0.539 states/eV per atom.

Geometry as CIF:
```
data_In2CuSnBi
_chemical_formula_sum 'In2 Cu1 Sn1 Bi1'
_cell_length_a 5.135
_cell_length_b 5.135
_cell_length_c 5.171
_cell_angle_alpha 90.00
_cell_angle_beta 90.00
_cell_angle_gamma 90.00
_symmetry_space_group_name_H-M 'P 4/m m m'
_symmetry_Int_Tables_number 123
_symmetry_space_group_name_Hall '-P 4 2'
loop_
_atom_site_label
_atom_site_fract_x
_atom_site_fract_y
_atom_site_fract_z
_atom_site_occupancy
In1 0.000 0.500 0.000 1
Cu1 0.000 0.000 0.000 1
Sn1 0.000 0.000 0.500 1
Bi1 0.500 0.500 0.500 1
```

# 6
Entry from the Alexandria database: an optimized crystal structure of TbY3O (PBE-GGA).

Properties
The size of the total moment is 0.001 μB/f.u. For the density of states at the Fermi level, the calculation gives 1.473 states/eV per atom. The calculation puts the offset from the most stable computed form at 0.00 eV/f.u. As for the uncorrected formation energy: -1104 meV per atom.

Geometry as CIF:
```
data_TbY3O
_chemical_formula_sum 'Tb2 Y6 O2'
_cell_length_a 7.123
_cell_length_b 6.351
_cell_length_c 5.640
_cell_angle_alpha 90.00
_cell_angle_beta 90.00
_cell_angle_gamma 90.00
_symmetry_space_group_name_H-M 'P m n 21'
_symmetry_Int_Tables_number 31
loop_
_symmetry_equiv_pos_as_xyz
'x,y,z'
'-x+1/2,-y,z+1/2'
'-x,y,z'
'x+1/2,-y,z+1/2'
loop_
_atom_site_label
_atom_site_fract_x
_atom_site_fract_y
_atom_site_fract_z
_atom_site_occupancy
Tb1 0.000 0.176 0.000 1
Y1 0.000 0.827 0.486 1
Y2 0.250 0.359 0.493 1
O1 0.000 0.499 0.244 1
```

# 7
Entry from the Alexandria database: an optimized crystal structure of Ce3Sm2YSb6 (PBE-GGA).

Properties
The size of the total moment is 2.371 μB/f.u. For the density of states at the Fermi level, the calculation gives 1.658 states/eV per atom. As for the uncorrected formation energy: -1111 meV per atom.

Geometry as CIF:
```
data_Ce3Sm2YSb6
_chemical_formula_sum 'Ce6 Sm4 Y2 Sb12'
_cell_length_a 7.747
_cell_length_b 13.418
_cell_length_c 7.750
_cell_angle_alpha 90.00
_cell_angle_beta 109.47
_cell_angle_gamma 90.00
_symmetry_space_group_name_H-M 'C 1 2/m 1'
_symmetry_Int_Tables_number 12
loop_
_symmetry_equiv_pos_as_xyz
'x,y,z'
'-x,-y,-z'
'-x,y,-z'
'x,-y,z'
'x+1/2,y+1/2,z'
'-x+1/2,-y+1/2,-z'
'-x+1/2,y+1/2,-z'
'x+1/2,-y+1/2,z'
loop_
_atom_site_label
_atom_site_fract_x
_atom_site_fract_y
_atom_site_fract_z
_atom_site_occupancy
Ce1 0.000 0.000 0.000 1
Ce2 0.000 0.332 0.000 1
Sm1 0.000 0.166 0.500 1
Y1 0.000 0.500 0.500 1
Sb1 0.247 0.500 0.251 1
Sb2 0.248 0.335 0.747 1
```

# 8
Entry from the Alexandria database: an optimized crystal structure of BaNbPd3 (PBE-GGA).

Properties
The size of the total moment is 0.000 μB/f.u. For the density of states at the Fermi level, the calculation gives 1.191 states/eV per atom. The calculation puts the offset from the most stable computed form at 0.00 eV/f.u.

Geometry as CIF:
```
data_BaNbPd3
_chemical_formula_sum 'Ba1 Nb1 Pd3'
_cell_length_a 5.034
_cell_length_b 5.034
_cell_length_c 5.034
_cell_angle_alpha 90.00
_cell_angle_beta 90.00
_cell_angle_gamma 90.00
_symmetry_space_group_name_H-M 'P m -3 m'
_symmetry_Int_Tables_number 221
_symmetry_space_group_name_Hall '-P 4 2 3'
loop_
_atom_site_label
_atom_site_fract_x
_atom_site_fract_y
_atom_site_fract_z
_atom_site_occupancy
Ba1 0.000 0.000 0.000 1
Nb1 0.500 0.500 0.500 1
Pd1 0.000 0.500 0.500 1
```

| no. | calculated total energy (eV/atom) |
| --- | --- |
| 1 | -3.10 |
| 2 | -6.28 |
| 3 | -2.94 |
| 4 | -2.79 |
| 5 | -3.35 |
| 6 | -6.90 |
| 7 | -5.98 |
| 8 | -5.37 |